A plane-wave DFT calculation with PBE-GGA was carried out for a relaxed structure of HfAu3Se.

```
5
Lattice="5.2066 0.0000 0.0000 0.0000 5.2066 0.0000 0.0000 0.0000 5.2066" Properties=species:S:1:pos:R:3 pbc="T T T"
Au 0.0000 2.6033 0.0000
Au 0.0000 0.0000 2.6033
Au 2.6033 0.0000 0.0000
Se 2.6033 2.6033 2.6033
Hf 0.0000 0.0000 0.0000
```

Summary:
Calculated total energy   -3.82 eV/atom